Compound: AgHgAu6
Source: Alexandria
Functional: PBE
Structure: optimized geometry

```
8
Lattice="3.925 0.000 1.072 1.788 4.648 1.177 -0.094 -0.042 8.071" Properties=species:S:1:pos:R:3 pbc="T T T"
Ag 0.000 0.000 0.000
Hg 0.847 2.303 4.624
Au 2.473 4.054 6.393
Au 2.328 1.123 6.925
Au 1.648 1.736 1.689
Au 3.291 3.483 3.394
Au 3.146 0.552 3.927
Au 3.971 2.870 8.630
```

Values from the calculation:
formation energy from the elements	9	meV/atom
offset from the most stable computed form	0.0	meV per atom
calculated total energy	-2.8431	eV per atom
N(E_F)	2.3	states/eV/f.u.

Compound: Ag5Hg2Au
Source: Alexandria
Functional: PBE
Structure: optimized geometry

```
8
Lattice="-2.519 1.305 -3.332 1.400 -3.390 -2.386 -5.460 -3.418 5.663" Properties=species:S:1:pos:R:3 pbc="T T T"
Ag -0.559 -1.043 -2.859
Ag -5.841 -2.743 0.469
Ag -3.881 -5.090 0.941
Ag -0.737 -2.760 -0.524
Ag -2.697 -0.413 -0.996
Hg -3.577 -3.279 -1.453
Hg -3.001 -2.224 1.398
Au 0.000 0.000 0.000
```

Values from the calculation:
formation energy from the elements	38	meV/atom
offset from the most stable computed form	16.7	meV per atom
calculated total energy	-2.2294	eV per atom
N(E_F)	2.0	states/eV/f.u.

Compound: Ag2HgAu
Source: Alexandria
Functional: PBE
Structure: optimized geometry

```
4
Lattice="-0.245 -0.223 -3.000 -4.138 -1.565 0.454 -1.918 5.516 1.536" Properties=species:S:1:pos:R:3 pbc="T T T"
Ag -1.904 5.452 1.443
Ag -2.761 0.534 -1.535
Au -1.000 2.534 -0.375
Hg -3.636 3.369 0.262
```

Values from the calculation:
formation energy from the elements	46	meV/atom
calculated total energy	-2.2744	eV per atom
N(E_F)	1.2	states/eV/f.u.

Compound: AgHgAu2
Source: Alexandria
Functional: PBE
Structure: optimized geometry

```
4
Lattice="2.985 0.060 0.000 -0.057 2.985 0.000 0.000 0.000 8.552" Properties=species:S:1:pos:R:3 pbc="T T T"
Au 0.000 0.000 8.534
Au 1.464 1.523 2.052
Hg 0.000 0.000 4.295
Ag 1.464 1.523 6.499
```

Values from the calculation:
formation energy from the elements	45	meV/atom
calculated total energy	-2.3818	eV per atom
N(E_F)	0.8	states/eV/f.u.

Compound: AgHg2Au8
Source: Alexandria
Functional: PBE
Structure: optimized geometry

```
11
Lattice="5.062 -0.238 -0.784 -0.555 5.078 0.560 0.520 3.595 8.292" Properties=species:S:1:pos:R:3 pbc="T T T"
Au 2.879 2.353 1.208
Au 1.798 3.574 5.199
Au 0.915 6.203 4.123
Au 4.851 7.202 7.239
Au 4.113 2.232 3.944
Au 3.230 4.861 2.868
Au 2.149 6.082 6.860
Au 0.177 1.233 0.829
Hg 0.530 3.721 2.459
Hg 4.498 4.714 5.608
Ag 2.531 -0.119 -0.392
```

Values from the calculation:
formation energy from the elements	30	meV/atom
offset from the most stable computed form	0.0	meV per atom
calculated total energy	-2.6679	eV per atom
N(E_F)	2.9	states/eV/f.u.

Compound: AgHg3Au
Source: Alexandria
Functional: PBE
Structure: optimized geometry

```
5
Lattice="5.367 0.000 0.000 0.000 5.367 0.000 0.000 0.000 5.367" Properties=species:S:1:pos:R:3 pbc="T T T"
Au 0.000 0.000 0.000
Hg 0.000 2.684 0.000
Hg 0.000 0.000 2.684
Hg 2.684 0.000 0.000
Ag 2.684 2.684 2.684
```

Values from the calculation:
formation energy from the elements	334	meV/atom
offset from the most stable computed form	0.0	meV per atom
calculated total energy	-1.0730	eV per atom
N(E_F)	2.1	states/eV/f.u.